DFT (PBE) results for a geometry-optimized Tb2NdDy4Tm2 structure.

Computed properties:
Uncorrected energy = -4.595 eV per atom
Size of the total moment = 0.000 μB per atom
Calculated volume = 285.25 Å³ per cell

The structure in POSCAR format:
```
Tb2NdDy4Tm2
1.0
9.288 -1.791 0.000
9.288 1.791 0.000
-4.119 0.000 8.574
Tb Nd Dy Tm
2 1 4 2
Cartesian
2.063 0.000 1.437 Tb
12.394 0.000 7.136 Tb
-2.060 0.000 4.287 Nd
0.011 0.000 7.156 Dy
8.259 0.000 1.415 Dy
6.197 0.000 7.159 Dy
14.445 0.000 1.418 Dy
4.108 0.000 4.274 Tm
10.348 0.000 4.300 Tm
```